[1]
! CuMo2Cl | the Alexandria database | PBE | optimized geometry; values from VASP
! Space-group type: P4/mmm
! Excess energy over the best structure of this formula in the dataset (meV per atom): 367.4
! E_tot (eV per atom): -6.30
! Raw formation energy (kJ/mol of atoms): 58
&SYSTEM
  ibrav = 0, nat = 4, ntyp = 3
/
ATOMIC_SPECIES
Mo 95.94 Mo.upf
Cu 63.55 Cu.upf
Cl 35.45 Cl.upf
ATOMIC_POSITIONS crystal
Mo 0.0000 0.0000 0.9780
Mo 0.0000 0.0000 0.5220
Cu 0.5000 0.5000 0.7500
Cl 0.5000 0.5000 0.2500
CELL_PARAMETERS angstrom
-2.6180 1.1156 -0.8580
-0.0552 -1.8921 -2.2917
-3.1475 -4.4822 3.7765

---

[2]
! Cu2MoCl | the Alexandria database | PBE | optimized geometry; values from VASP
! Space-group type: Imm2
! Excess energy over the best structure of this formula in the dataset (meV per atom): 123.9
! E_tot (eV per atom): -4.90
! Raw formation energy (kJ/mol of atoms): 31
&SYSTEM
  ibrav = 0, nat = 4, ntyp = 3
/
ATOMIC_SPECIES
Mo 95.94 Mo.upf
Cu 63.55 Cu.upf
Cl 35.45 Cl.upf
ATOMIC_POSITIONS crystal
Mo 0.4774 0.4774 0.0000
Cu 0.0460 0.0460 0.0000
Cu 0.6553 0.1553 0.5000
Cl 0.3213 0.8213 0.5000
CELL_PARAMETERS angstrom
6.7790 1.1061 -0.1742
4.3288 5.3328 0.1742
-5.0482 -4.0918 2.2318

---

[3]
! CuMoCl2 | the Alexandria database | PBE | optimized geometry; values from VASP
! Space-group type: Cm
! Excess energy over the best structure of this formula in the dataset (meV per atom): 107.4
! E_tot (eV per atom): -4.66
! Raw formation energy (kJ/mol of atoms): -1
&SYSTEM
  ibrav = 0, nat = 4, ntyp = 3
/
ATOMIC_SPECIES
Mo 95.94 Mo.upf
Cu 63.55 Cu.upf
Cl 35.45 Cl.upf
ATOMIC_POSITIONS crystal
Mo 0.2942 0.2942 0.3759
Cu 0.5679 0.5679 0.3729
Cl 0.8928 0.8928 0.0999
Cl 0.7451 0.7451 0.6513
CELL_PARAMETERS angstrom
4.9696 -0.0041 0.0313
4.0673 2.8556 0.0313
2.3819 0.7516 6.9564

---

[4]
! Cu4MoCl | the Alexandria database | PBE | optimized geometry; values from VASP
! Space-group type: F-43m
! E_tot (eV per atom): -4.26
! Raw formation energy (kJ/mol of atoms): 57
&SYSTEM
  ibrav = 0, nat = 6, ntyp = 3
/
ATOMIC_SPECIES
Cu 63.55 Cu.upf
Mo 95.94 Mo.upf
Cl 35.45 Cl.upf
ATOMIC_POSITIONS crystal
Cu 0.6244 0.6244 0.1267
Cu 0.6244 0.1267 0.6244
Cu 0.6244 0.6244 0.6244
Cu 0.1267 0.6244 0.6244
Mo 0.2500 0.2500 0.2500
Cl 0.0000 0.0000 0.0000
CELL_PARAMETERS angstrom
1.5515 -4.7317 0.1663
2.7174 -1.5965 3.8588
-1.9819 -3.1568 3.3061

---

[5]
! CuMoCl4 | the Alexandria database | PBE | optimized geometry; values from VASP
! Space-group type: C2/c
! Excess energy over the best structure of this formula in the dataset (meV per atom): 0.0
! E_tot (eV per atom): -4.19
! Raw formation energy (kJ/mol of atoms): -45
&SYSTEM
  ibrav = 0, nat = 12, ntyp = 3
/
ATOMIC_SPECIES
Cu 63.55 Cu.upf
Mo 95.94 Mo.upf
Cl 35.45 Cl.upf
ATOMIC_POSITIONS crystal
Cu 0.2500 0.0634 0.9366
Cu 0.7500 0.9366 0.0634
Mo 0.7500 0.6100 0.3900
Mo 0.2500 0.3900 0.6100
Cl 0.9866 0.6787 0.7849
Cl 0.9299 0.7786 0.2361
Cl 0.5134 0.2151 0.3213
Cl 0.5701 0.7639 0.2214
Cl 0.4299 0.2361 0.7786
Cl 0.4866 0.7849 0.6787
Cl 0.0701 0.2214 0.7639
Cl 0.0134 0.3213 0.2151
CELL_PARAMETERS angstrom
8.8410 -2.6674 -2.9966
-3.1990 7.2482 -0.2123
-2.6661 0.4038 7.4528

---

[6]
! CuMoCl2 | the Alexandria database | PBE | optimized geometry; values from VASP
! Space-group type: R-3m
! Excess energy over the best structure of this formula in the dataset (meV per atom): 189.7
! E_tot (eV per atom): -4.58
! Raw formation energy (kJ/mol of atoms): 7
&SYSTEM
  ibrav = 0, nat = 4, ntyp = 3
/
ATOMIC_SPECIES
Mo 95.94 Mo.upf
Cu 63.55 Cu.upf
Cl 35.45 Cl.upf
ATOMIC_POSITIONS crystal
Mo 0.7500 0.7500 0.7500
Cu 0.2500 0.2500 0.2500
Cl 0.0275 0.0275 0.0275
Cl 0.4725 0.4725 0.4725
CELL_PARAMETERS angstrom
-4.2335 3.8704 8.8914
-6.1520 1.5345 8.4709
-3.5049 1.0925 9.9238